The following is a DFT calculation (PBE+U) of a relaxed structure of NpNiO5.

DOS at the Fermi energy: 11.45 states/eV per cell
DFT total energy: -209.986 eV/cell

Geometry as extended XYZ:
```
28
Lattice="-1.294 -3.528 -3.673 3.869 -2.887 5.577 -8.531 -1.970 4.898" Properties=species:S:1:pos:R:3 pbc="T T T"
O -7.143 -4.400 4.396
O 2.573 -4.273 4.773
O -1.053 -4.195 3.982
O -0.937 -3.060 1.006
O -3.202 -6.995 3.824
O -4.903 -4.191 2.820
O -0.702 -6.511 2.563
O -2.604 -5.193 1.638
O -5.019 -5.326 5.796
O -1.670 -4.062 -1.771
O -2.754 -1.391 2.978
O -8.528 -4.113 2.029
O 0.111 -5.179 0.223
O -4.286 -4.325 8.573
O 1.188 -3.986 2.406
O -5.253 -1.875 4.239
O -3.688 -2.551 0.713
O -2.268 -5.835 6.090
O -3.351 -3.193 5.164
O -6.066 -3.208 6.580
Np -5.832 -5.073 7.889
Np -1.425 -3.889 5.768
Np -0.123 -3.313 -1.087
Np -4.531 -4.497 1.034
Ni -2.029 -1.492 1.043
Ni -3.926 -6.894 5.759
Ni -0.708 -4.692 1.976
Ni -5.248 -3.694 4.826
```